ZrSc2Ru3 after structural relaxation. Source: Alexandria, functional PBE-GGA.

Relative energy among the computed polymorphs   6 meV/atom
ρ   7.93 g/cm3
N(E_F)   0.8464 states/eV/atom
Calculated formation energy   -3.65 eV/f.u.

abc: 3.240 3.240 9.659
angles: 90.00 90.00 90.00
Fractional coordinates of all 6 atoms:
Ru  0.000  0.000  0.665
Sc  0.500  0.500  0.837
Sc  0.500  0.500  0.163
Ru  0.000  0.000  0.335
Ru  0.000  0.000  0.000
Zr  0.500  0.500  0.500